Entry from Alexandria via LeMat-Bulk: a relaxed Li2FeCo2O6 crystal (GGA-PBEsol). Values from VASP.

Structure (Quantum ESPRESSO input):
```
&SYSTEM
  ibrav = 0, nat = 22, ntyp = 4
/
ATOMIC_SPECIES
Li 6.94 Li.upf
O 16.00 O.upf
Fe 55.84 Fe.upf
Co 58.93 Co.upf
CELL_PARAMETERS angstrom
-1.928 -2.433 3.704
3.285 -2.125 -2.837
5.964 6.150 5.044
ATOMIC_POSITIONS angstrom
Li 3.392 -0.685 0.167
Li 4.617 2.333 4.868
O 5.183 4.261 5.408
Fe 2.803 -2.154 -2.232
Co 5.761 0.920 0.320
Li 1.655 -0.804 2.359
Fe 4.010 0.816 2.517
O 6.706 2.070 4.703
O 6.963 4.368 3.187
O 3.720 -0.998 2.199
Li 6.367 2.420 2.685
O 4.059 0.345 4.355
Co 2.260 0.713 4.712
Co 1.039 -2.258 -0.019
O 2.188 1.183 2.903
Co -0.713 -2.362 2.179
O 5.833 0.450 2.129
O 4.301 2.631 2.833
O 2.859 -2.629 -0.415
O 1.090 -2.731 1.816
O 3.962 1.288 0.677
O 1.335 -0.436 0.303
```

Summary:
spin magnetization: 2.008 μB per formula unit
calculated total energy: -75.8 eV/f.u.
energy relative to the elements, uncorrected: -1445 meV/atom


Entry from Alexandria via LeMat-Bulk: a relaxed LiFeCo2O6 crystal (GGA-PBEsol). Values from VASP.

Structure (Quantum ESPRESSO input):
```
&SYSTEM
  ibrav = 0, nat = 10, ntyp = 4
/
ATOMIC_SPECIES
Co 58.93 Co.upf
O 16.00 O.upf
Fe 55.84 Fe.upf
Li 6.94 Li.upf
CELL_PARAMETERS angstrom
3.589 0.000 0.000
0.000 6.984 1.586
-1.794 -0.416 4.394
ATOMIC_POSITIONS angstrom
Co 0.000 1.448 1.577
O 1.794 5.808 2.849
Co 1.794 5.120 4.404
O 1.794 1.374 1.266
O 1.794 2.497 4.740
O 0.000 0.760 3.132
Fe 1.794 0.000 0.000
O 0.000 5.194 4.715
Li 1.794 3.492 0.793
O 0.000 4.071 1.241
```

Summary:
spin magnetization: 1.400 μB per formula unit
calculated total energy: -65.7 eV/f.u.
energy relative to the elements, uncorrected: -784 meV/atom


Entry from Alexandria via LeMat-Bulk: a relaxed Li10FeCo9O20 crystal (GGA-PBEsol). Values from VASP.

Structure (Quantum ESPRESSO input):
```
&SYSTEM
  ibrav = 0, nat = 40, ntyp = 4
/
ATOMIC_SPECIES
Li 6.94 Li.upf
Co 58.93 Co.upf
O 16.00 O.upf
Fe 55.84 Fe.upf
CELL_PARAMETERS angstrom
4.878 0.021 -0.013
2.408 7.051 -0.015
0.833 1.422 9.183
ATOMIC_POSITIONS angstrom
Li 2.424 4.229 -0.007
Co 4.885 2.847 6.873
Co 5.667 7.068 2.273
Co 4.873 5.661 6.870
O 4.050 4.243 1.283
O 7.296 7.076 3.266
O 4.060 7.068 7.877
O 4.862 5.657 3.273
O 6.501 5.666 7.869
O 1.636 2.833 7.882
Co 2.440 4.243 6.878
Li 4.059 4.249 4.578
O 2.442 1.422 3.286
O 6.483 5.662 1.274
O 4.069 4.251 7.873
Li 4.056 7.064 4.569
O 5.674 7.072 5.860
O 4.038 7.060 1.281
Li 4.068 1.437 4.575
O 4.875 2.841 3.277
O 4.080 1.439 7.880
O 2.429 4.238 3.282
O 1.617 2.824 1.292
Li 6.489 5.660 4.563
O 0.825 1.423 5.883
O 4.063 1.427 1.287
O 3.256 2.838 5.878
Fe 7.306 7.081 6.862
Li 3.266 2.839 9.173
Co 2.452 1.428 6.881
Li 4.845 5.654 -0.015
Li 5.699 4.261 9.164
Co 5.679 4.251 2.275
Li 1.626 2.828 4.587
O 3.245 5.650 5.871
Co 0.813 1.414 2.293
Li 0.004 0.006 0.006
Co 3.246 2.833 2.284
O 5.689 4.256 5.870
Co 3.234 5.649 2.281
```

Summary:
spin magnetization: 1.005 μB per formula unit
calculated total energy: -264.1 eV/f.u.
energy relative to the elements, uncorrected: -1521 meV/atom


Entry from Alexandria via LeMat-Bulk: a relaxed Li2FeCoO4 crystal (GGA-PBEsol). Values from VASP.

Structure (Quantum ESPRESSO input):
```
&SYSTEM
  ibrav = 0, nat = 8, ntyp = 4
/
ATOMIC_SPECIES
O 16.00 O.upf
Li 6.94 Li.upf
Co 58.93 Co.upf
Fe 55.84 Fe.upf
CELL_PARAMETERS angstrom
3.964 0.000 0.000
0.000 3.964 0.000
-1.982 -1.982 4.088
ATOMIC_POSITIONS angstrom
O 0.000 1.982 3.952
Li 1.982 0.000 2.044
O 1.982 1.982 2.212
Co 0.000 1.982 2.044
Li 1.982 1.982 0.000
O 0.000 0.000 1.877
Fe 0.000 0.000 0.000
O 0.000 1.982 0.136
```

Summary:
spin magnetization: 3.975 μB per formula unit
calculated total energy: -53.5 eV/f.u.
energy relative to the elements, uncorrected: -1480 meV/atom


Entry from Alexandria via LeMat-Bulk: a relaxed Li5Fe3Co2O10 crystal (GGA-PBEsol). Values from VASP.

Structure (Quantum ESPRESSO input):
```
&SYSTEM
  ibrav = 0, nat = 20, ntyp = 4
/
ATOMIC_SPECIES
O 16.00 O.upf
Li 6.94 Li.upf
Fe 55.84 Fe.upf
Co 58.93 Co.upf
CELL_PARAMETERS angstrom
4.897 0.055 -0.078
-0.937 4.787 -0.019
-1.599 -2.687 6.858
ATOMIC_POSITIONS angstrom
O 2.905 2.085 3.035
O 2.049 0.545 5.151
O -1.167 -1.914 5.828
Li -0.489 3.274 2.822
Fe -0.468 2.394 -0.009
Fe 1.183 1.963 6.092
O 0.312 1.611 1.610
O 2.046 -0.364 2.217
O 3.528 4.069 0.933
O 0.315 2.519 4.545
Fe 1.178 0.193 0.670
O -0.449 0.945 6.437
Li 0.389 -0.652 5.306
Li 1.972 2.807 1.456
Li 1.181 1.078 3.381
Co 3.608 0.671 2.021
Co -1.247 1.484 4.741
O 2.810 1.210 0.325
O -0.544 0.070 3.727
Li 2.850 -1.119 3.939
```

Summary:
spin magnetization: 7.062 μB per formula unit
calculated total energy: -135.0 eV/f.u.
energy relative to the elements, uncorrected: -1515 meV/atom


Entry from Alexandria via LeMat-Bulk: a relaxed Li4FeCo3O8 crystal (GGA-PBEsol). Values from VASP.

Structure (Quantum ESPRESSO input):
```
&SYSTEM
  ibrav = 0, nat = 16, ntyp = 4
/
ATOMIC_SPECIES
O 16.00 O.upf
Co 58.93 Co.upf
Li 6.94 Li.upf
Fe 55.84 Fe.upf
CELL_PARAMETERS angstrom
5.041 -0.016 -0.003
0.013 5.350 -0.003
-0.001 0.026 6.245
ATOMIC_POSITIONS angstrom
O 4.363 2.309 3.804
Co 0.015 0.442 0.822
Li 2.512 2.217 0.784
O 1.979 0.511 3.979
O 1.844 0.366 0.687
O 4.362 4.993 5.557
Fe 2.546 4.936 5.444
Li 5.032 3.132 5.453
Li 2.514 4.889 2.339
O 4.508 2.155 0.855
O 1.843 3.046 2.423
Li 5.019 0.461 3.893
Co 2.543 2.248 3.916
O 1.990 3.208 5.379
O 4.505 4.829 2.267
Co 0.026 3.119 2.309
```

Summary:
spin magnetization: 0.642 μB per formula unit
calculated total energy: -104.4 eV/f.u.
energy relative to the elements, uncorrected: -1398 meV/atom


Entry from Alexandria via LeMat-Bulk: a relaxed Li2FeCo3O8 crystal (GGA-PBEsol). Values from VASP.

Structure (Quantum ESPRESSO input):
```
&SYSTEM
  ibrav = 0, nat = 14, ntyp = 4
/
ATOMIC_SPECIES
O 16.00 O.upf
Fe 55.84 Fe.upf
Co 58.93 Co.upf
Li 6.94 Li.upf
CELL_PARAMETERS angstrom
-4.016 -2.890 2.684
0.065 -5.629 -0.061
1.223 -2.851 4.663
ATOMIC_POSITIONS angstrom
O -0.832 -5.660 1.848
Fe -1.364 -5.685 3.643
O -2.614 -6.942 3.039
O -2.643 -4.445 3.066
O -0.086 -6.925 4.221
Co -2.008 -1.445 1.342
Li -2.996 -8.524 4.049
O -1.935 -8.529 5.631
Co 0.032 -2.814 -0.030
Co -1.976 -4.260 1.312
O -0.793 -2.842 1.656
O -1.896 -5.711 5.438
O -0.115 -4.429 4.248
Li 0.267 -2.847 3.238
```

Summary:
spin magnetization: 3.083 μB per formula unit
calculated total energy: -97.7 eV/f.u.
energy relative to the elements, uncorrected: -1402 meV/atom


Entry from Alexandria via LeMat-Bulk: a relaxed Li2FeCo3O8 crystal (GGA-PBEsol). Values from VASP.

Structure (Quantum ESPRESSO input):
```
&SYSTEM
  ibrav = 0, nat = 14, ntyp = 4
/
ATOMIC_SPECIES
Li 6.94 Li.upf
O 16.00 O.upf
Co 58.93 Co.upf
Fe 55.84 Fe.upf
CELL_PARAMETERS angstrom
5.600 0.000 0.000
2.800 4.781 0.000
2.800 1.558 4.746
ATOMIC_POSITIONS angstrom
Li 5.600 3.169 2.373
O 4.192 3.980 0.993
O 7.007 3.980 0.993
O 5.600 4.741 3.779
O 5.600 1.597 0.967
Li 2.800 3.169 2.373
Co 1.400 2.390 0.000
O 7.007 2.358 3.753
O 4.192 2.358 3.753
O 8.400 4.726 3.798
Co 4.200 2.390 0.000
Co 2.800 0.000 0.000
Fe 0.000 0.000 0.000
O 2.800 1.612 0.948
```

Summary:
spin magnetization: 3.069 μB per formula unit
calculated total energy: -97.0 eV/f.u.
energy relative to the elements, uncorrected: -1350 meV/atom